1.
## TlAg3Te4Mo (PBE)

Data for crystalline TlAg3Te4Mo at its relaxed geometry.

abc: 6.7149 6.7149 6.7149
angles: 90.00 90.00 90.00
Last column: nearest neighbours and their distance in Å.
Sites, in units of the cell vectors:
Tl (0.0000, 0.0000, 0.0000)  4 Te 3.16
Ag (0.0000, 0.5000, 0.5000)  4 Te 2.83
Ag (0.5000, 0.0000, 0.5000)  4 Te 2.83
Ag (0.5000, 0.5000, 0.0000)  4 Te 2.83
Te (0.2721, 0.2721, 0.2721)  1 Mo 2.65, 3 Ag 2.83
Te (0.2721, 0.7279, 0.7279)  1 Mo 2.65, 3 Ag 2.83
Te (0.7279, 0.2721, 0.7279)  1 Mo 2.65, 3 Ag 2.83
Te (0.7279, 0.7279, 0.2721)  1 Mo 2.65, 3 Ag 2.83
Mo (0.5000, 0.5000, 0.5000)  4 Te 2.65

Values from the calculation:
SG: P-43m (215)
Volume, Å³ per cell: 302.8
Total energy, eV/atom: -3.8098

---

2.
## TlAgTe3Mo (PBE)

Data for crystalline TlAgTe3Mo at its relaxed geometry.

abc: 7.9955 7.9955 10.8169
angles: 90.00 90.00 150.83
Last column: nearest neighbours and their distance in Å.
Sites, in units of the cell vectors:
Tl (0.2345, 0.7655, 0.7500)  2 Ag 3.50, 8 Te 3.57-3.65
Tl (0.7655, 0.2345, 0.2500)  2 Ag 3.50, 8 Te 3.57-3.65
Ag (0.4504, 0.5496, 0.2500)  4 Te 2.73-2.79
Ag (0.5496, 0.4504, 0.7500)  4 Te 2.73-2.79
Te (0.0748, 0.9252, 0.2500)  2 Ag 2.79, 2 Mo 2.94
Te (0.3722, 0.6278, 0.0241)  1 Ag 2.73, 2 Mo 2.83
Te (0.3722, 0.6278, 0.4759)  1 Ag 2.73, 2 Mo 2.83
Te (0.6278, 0.3722, 0.5241)  1 Ag 2.73, 2 Mo 2.83
Te (0.6278, 0.3722, 0.9759)  1 Ag 2.73, 2 Mo 2.83
Te (0.9252, 0.0748, 0.7500)  2 Ag 2.79, 2 Mo 2.94
Mo (0.0000, 0.0000, 0.0000)  6 Te 2.83-2.94
Mo (0.0000, 0.0000, 0.5000)  6 Te 2.83-2.94

Values from the calculation:
SG: Cmcm (63)
Volume, Å³ per cell: 337.0
Total energy, eV/atom: -4.2468